Record 1
This record from the Open Quantum Materials Database describes a relaxed LiMoSe2 crystal. The functional is PBE.

extended XYZ file:
```
16
Lattice="-6.7271 2.2082 -0.3164 -1.7318 -6.0168 -5.1724 -1.5572 -4.0020 5.1767" Properties=species:S:1:pos:R:3 pbc="T T T"
Mo -6.4388 -6.5182 1.7533
Mo -3.5040 -9.1121 0.6308
Mo -4.3524 -3.2844 0.5114
Mo -7.2871 -0.6905 1.6339
Li -5.7129 -3.3920 4.3522
Li -7.9721 -3.6864 -0.9245
Li -2.8061 -6.0829 3.1462
Li -5.0653 -6.3774 -2.1305
Se -4.3185 -4.8145 -4.0393
Se -3.0114 -7.6576 -1.2604
Se -6.6522 0.7528 -0.2232
Se -3.7268 -1.8736 -1.3736
Se -5.2688 -1.8942 2.3020
Se -7.2686 -2.2738 -2.9625
Se -5.9368 -5.0313 -0.1100
Se -2.3188 -4.4349 1.2252
```

Results
energy = -21.1 eV per formula unit
space group = No. 33


Record 2
This record from the Open Quantum Materials Database describes a relaxed LiSi2Mo crystal. The functional is PBE.

extended XYZ file:
```
4
Lattice="-3.6754 -1.9723 -0.5900 -3.6151 2.1353 0.3431 -2.2996 0.8139 -3.4345" Properties=species:S:1:pos:R:3 pbc="T T T"
Si 0.0000 0.0000 0.0000
Si -7.1926 0.7327 -2.7611
Li -4.7951 0.4885 -1.8407
Mo -2.3975 0.2442 -0.9204
```

Results
energy = -22.5 eV per formula unit
space group = No. 216


Record 3
This record from the Open Quantum Materials Database describes a relaxed Li2SmMo2 crystal. The functional is PBE.

extended XYZ file:
```
10
Lattice="4.9212 0.0000 0.0000 0.0000 7.3158 0.0000 0.0000 0.0000 4.7106" Properties=species:S:1:pos:R:3 pbc="T T T"
Mo 3.1573 6.0456 2.3553
Mo 1.7639 1.2702 2.3553
Mo 0.6967 4.9281 2.3553
Mo 4.2245 2.3877 2.3553
Li 0.2316 2.5334 0.0000
Li 2.2290 6.1913 0.0000
Li 2.6922 1.1245 0.0000
Li 4.6896 4.7824 0.0000
Sm 2.4606 3.6579 0.0000
Sm 0.0000 0.0000 0.0000
```

Results
energy = -26.5 eV per formula unit
space group = No. 55